Entry from Alexandria via LeMat-Bulk: an optimized crystal structure of Mn2CdOs (PBE).

Calculated values
Space group: P4/mmm (123)

Cell: 2.9159 4.5442 4.5442 Å, 90.00 90.00 90.00°
Closest atoms and distances in Å follow each position.
Fractional coordinates of all 4 atoms:
Cd (0.5000, 0.0000, 0.5000)  8 Mn 2.70, 2 Cd 2.92
Mn (0.0000, 0.0000, 0.0000)  4 Cd 2.70, 4 Os 2.70, 2 Mn 2.92
Mn (0.0000, 0.5000, 0.5000)  4 Cd 2.70, 4 Os 2.70, 2 Mn 2.92
Os (0.5000, 0.5000, 0.0000)  8 Mn 2.70, 2 Os 2.92

---

Entry from Alexandria via LeMat-Bulk: an optimized crystal structure of MnCd2Os (PBE).

Calculated values
Space group: P4/mmm (123)
Distance to the lowest polymorph of the same formula (meV per atom): 360

Cell: 2.8480 2.8480 8.4793 Å, 90.00 90.00 90.00°
Closest atoms and distances in Å follow each position.
Fractional coordinates of all 4 atoms:
Mn (0.5000, 0.5000, 0.2500)  4 Mn 2.85, 8 Cd 2.93
Os (0.5000, 0.5000, 0.7500)  4 Os 2.85, 8 Cd 2.92
Cd (0.0000, 0.0000, 0.5006)  4 Cd 2.85, 4 Os 2.92, 4 Mn 2.93
Cd (0.0000, 0.0000, 0.9994)  4 Cd 2.85, 4 Os 2.92, 4 Mn 2.93

---

Entry from Alexandria via LeMat-Bulk: an optimized crystal structure of Mn2CdOs2 (PBE).

Calculated values
Space group: P4/mbm (127)
Distance to the lowest polymorph of the same formula (meV per atom): 0

Cell: 7.4075 7.4075 2.6772 Å, 90.00 90.00 90.00°
Closest atoms and distances in Å follow each position.
Fractional coordinates of all 10 atoms:
Mn (0.3363, 0.1637, 0.5000)  6 Os 2.55-2.57, 2 Mn 2.68
Mn (0.1637, 0.6637, 0.5000)  6 Os 2.55-2.57, 2 Mn 2.68
Mn (0.6637, 0.8363, 0.5000)  6 Os 2.55-2.57, 2 Mn 2.68
Mn (0.8363, 0.3363, 0.5000)  6 Os 2.55-2.57, 2 Mn 2.68
Cd (0.0000, 0.0000, 0.0000)  2 Cd 2.68, 4 Os 2.92
Cd (0.5000, 0.5000, 0.0000)  2 Cd 2.68, 4 Os 2.92
Os (0.3737, 0.8737, 0.0000)  6 Mn 2.55-2.57, 3 Os 2.65-2.68
Os (0.8737, 0.6263, 0.0000)  6 Mn 2.55-2.57, 3 Os 2.65-2.68
Os (0.6263, 0.1263, 0.0000)  6 Mn 2.55-2.57, 3 Os 2.65-2.68
Os (0.1263, 0.3737, 0.0000)  6 Mn 2.55-2.57, 3 Os 2.65-2.68

---

Entry from Alexandria via LeMat-Bulk: an optimized crystal structure of Mn2CdOs (PBE).

Calculated values
Space group: Cmmm (65)

Cell: 2.7423 2.7423 8.8493 Å, 90.00 90.00 111.34°
Closest atoms and distances in Å follow each position.
Fractional coordinates of all 4 atoms:
Os (0.5000, 0.5000, 0.2500)  4 Mn 2.55, 4 Os 2.74
Mn (0.0000, 0.0000, 0.0212)  2 Os 2.55, 4 Mn 2.74
Mn (0.0000, 0.0000, 0.4788)  2 Os 2.55, 4 Mn 2.74
Cd (0.5000, 0.5000, 0.7500)  4 Cd 2.74, 4 Mn 2.85

---

Entry from Alexandria via LeMat-Bulk: an optimized crystal structure of MnCd2Os (PBE).

Calculated values
Space group: I-4m2 (119)
Distance to the lowest polymorph of the same formula (meV per atom): 297

Cell: 4.8991 4.8991 4.8991 Å, 129.52 129.52 74.18°
Closest atoms and distances in Å follow each position.
Fractional coordinates of all 4 atoms:
Mn (0.5000, 0.5000, 0.0000)  4 Os 2.86, 8 Cd 2.86-2.95
Cd (0.0000, 0.0000, 0.0000)  4 Cd 2.86, 4 Os 2.86, 4 Mn 2.95
Cd (0.2500, 0.7500, 0.5000)  4 Cd 2.86, 4 Mn 2.86, 4 Os 2.95
Os (0.7500, 0.2500, 0.5000)  4 Mn 2.86, 8 Cd 2.86-2.95

---

Entry from Alexandria via LeMat-Bulk: an optimized crystal structure of Mn2CdOs (PBE).

Calculated values
Space group: Cmm2 (35)

Cell: 2.6985 2.6985 8.9468 Å, 90.00 90.00 113.73°
Closest atoms and distances in Å follow each position.
Fractional coordinates of all 4 atoms:
Cd (0.5000, 0.5000, 0.7561)  6 Cd 2.70-2.95, 2 Mn 2.83, 2 Os 2.96
Mn (0.0000, 0.0000, 0.0266)  6 Mn 2.47-2.70
Mn (0.5000, 0.5000, 0.2482)  2 Os 2.47, 6 Mn 2.47-2.70
Os (0.0000, 0.0000, 0.4691)  2 Mn 2.47, 4 Os 2.70

---

Entry from Alexandria via LeMat-Bulk: an optimized crystal structure of Mn2CdOs (PBE).

Calculated values
Space group: Pmmm (47)

Cell: 3.6575 2.8186 6.4102 Å, 63.95 90.00 90.00°
Closest atoms and distances in Å follow each position.
Fractional coordinates of all 4 atoms:
Cd (0.5000, 0.7500, 0.7500)  2 Cd 2.82, 8 Mn 2.86, 2 Os 2.88
Mn (0.0000, 0.9586, 0.0421)  1 Mn 2.39, 4 Os 2.60
Mn (0.0000, 0.5414, 0.4579)  1 Mn 2.39, 4 Os 2.60
Os (0.5000, 0.2500, 0.2500)  8 Mn 2.60, 2 Os 2.82, 2 Cd 2.88

---

Entry from Alexandria via LeMat-Bulk: an optimized crystal structure of MnCd2Os (PBE).

Calculated values
Space group: I-42d (122)
Distance to the lowest polymorph of the same formula (meV per atom): 710

Cell: 7.4647 7.4647 5.9436 Å, 51.10 51.10 90.00°
Closest atoms and distances in Å follow each position.
Fractional coordinates of all 8 atoms:
Mn (0.5000, 0.5000, 0.0000)  4 Cd 2.73, 2 Os 2.73
Mn (0.2500, 0.7500, 0.5000)  4 Cd 2.73, 2 Os 2.73
Cd (0.1249, 0.6250, 0.2500)  2 Os 2.73, 2 Mn 2.73, 2 Cd 2.73
Cd (0.8750, 0.8751, 0.7500)  2 Os 2.73, 2 Mn 2.73, 2 Cd 2.73
Cd (0.3750, 0.3749, 0.7500)  2 Os 2.73, 2 Mn 2.73, 2 Cd 2.73
Cd (0.6251, 0.1250, 0.2500)  2 Os 2.73, 2 Mn 2.73, 2 Cd 2.73
Os (0.0000, 0.0000, 0.0000)  4 Cd 2.73, 2 Mn 2.73
Os (0.7500, 0.2500, 0.5000)  4 Cd 2.73, 2 Mn 2.73

---

Entry from Alexandria via LeMat-Bulk: an optimized crystal structure of Mn2CdOs (PBE).

Calculated values
Space group: I-4m2 (119)

Cell: 4.7667 4.7667 4.7667 Å, 131.26 131.26 71.40°
Closest atoms and distances in Å follow each position.
Fractional coordinates of all 4 atoms:
Cd (0.7500, 0.2500, 0.5000)  4 Os 2.76, 8 Mn 2.76-2.78
Mn (0.2500, 0.7500, 0.5000)  4 Mn 2.76, 4 Os 2.76, 4 Cd 2.78
Mn (0.0000, 0.0000, 0.0000)  4 Cd 2.76, 4 Mn 2.76, 4 Os 2.78
Os (0.5000, 0.5000, 0.0000)  4 Cd 2.76, 8 Mn 2.76-2.78

---

Entry from Alexandria via LeMat-Bulk: an optimized crystal structure of MnCd2Os (PBE).

Calculated values
Space group: P2/m (10)
Distance to the lowest polymorph of the same formula (meV per atom): 279

Cell: 4.3550 2.7636 6.2973 Å, 64.14 90.00 90.00°
Closest atoms and distances in Å follow each position.
Fractional coordinates of all 4 atoms:
Mn (0.5000, 0.2500, 0.2500)  2 Mn 2.76, 2 Os 2.83, 8 Cd 2.94-2.95
Os (0.5000, 0.7500, 0.7500)  2 Os 2.76, 2 Mn 2.83, 8 Cd 2.94
Cd (0.0000, 0.5000, 0.5008)  4 Cd 2.76-2.84, 4 Os 2.94, 4 Mn 2.94-2.95
Cd (0.0000, 0.0000, 0.9992)  4 Cd 2.76-2.84, 4 Os 2.94, 4 Mn 2.94-2.95

---

Entry from Alexandria via LeMat-Bulk: an optimized crystal structure of Mn2CdOs (PBE).

Calculated values
Space group: R-3m (166)

Cell: 9.0533 9.0533 9.0533 Å, 18.03 18.03 18.03°
Closest atoms and distances in Å follow each position.
Fractional coordinates of all 4 atoms:
Os (0.2500, 0.2500, 0.2500)  6 Mn 2.61, 6 Os 2.84
Mn (0.5070, 0.5070, 0.5070)  3 Os 2.61, 6 Mn 2.84, 3 Cd 2.92
Mn (0.9930, 0.9930, 0.9930)  3 Os 2.61, 6 Mn 2.84, 3 Cd 2.92
Cd (0.7500, 0.7500, 0.7500)  6 Cd 2.84, 6 Mn 2.92

---

Entry from Alexandria via LeMat-Bulk: an optimized crystal structure of MnCd2Os (PBE).

Calculated values
Space group: R-3m (166)
Distance to the lowest polymorph of the same formula (meV per atom): 297

Cell: 9.7501 9.7501 9.7501 Å, 16.92 16.92 16.92°
Closest atoms and distances in Å follow each position.
Fractional coordinates of all 4 atoms:
Cd (0.9999, 0.9999, 0.9999)  6 Cd 2.87, 3 Mn 2.92, 3 Os 2.92
Cd (0.5001, 0.5001, 0.5001)  6 Cd 2.87, 3 Mn 2.92, 3 Os 2.92
Mn (0.2500, 0.2500, 0.2500)  6 Mn 2.87, 6 Cd 2.92
Os (0.7500, 0.7500, 0.7500)  6 Os 2.87, 6 Cd 2.92

---

Entry from Alexandria via LeMat-Bulk: an optimized crystal structure of MnCd2Os (PBE).

Calculated values
Space group: Cmmm (65)
Distance to the lowest polymorph of the same formula (meV per atom): 304

Cell: 5.1287 5.1287 2.8196 Å, 90.00 90.00 112.86°
Closest atoms and distances in Å follow each position.
Fractional coordinates of all 4 atoms:
Cd (0.5000, 0.5000, 0.0000)  4 Cd 2.82-2.84, 4 Os 2.93, 4 Mn 2.93
Cd (0.0000, 0.0000, 0.0000)  4 Cd 2.82-2.84, 4 Mn 2.93, 4 Os 2.93
Mn (0.5000, 0.0000, 0.5000)  2 Mn 2.82, 2 Os 2.84, 8 Cd 2.93
Os (0.0000, 0.5000, 0.5000)  2 Os 2.82, 2 Mn 2.84, 8 Cd 2.93

---

Entry from Alexandria via LeMat-Bulk: an optimized crystal structure of Mn2CdOs (PBE).

Calculated values
Space group: Imm2 (44)

Cell: 5.2877 5.2877 5.2877 Å, 148.06 129.68 60.84°
Closest atoms and distances in Å follow each position.
Fractional coordinates of all 4 atoms:
Mn (0.7433, 0.2433, 0.5000)  2 Os 2.49, 2 Mn 2.64, 4 Cd 2.68
Mn (0.9848, 0.9848, 0.0000)  4 Mn 2.64-2.91, 4 Os 2.70, 2 Cd 2.83
Cd (0.2503, 0.7503, 0.5000)  6 Mn 2.68-2.83, 2 Os 2.87, 2 Cd 2.91
Os (0.5216, 0.5216, 0.0000)  6 Mn 2.49-2.70

---

no.,ΔH_f (0 K) (meV per atom)
1,357
2,579
3,298
4,372
5,516
6,472
7,305
8,929
9,484
10,498
11,329
12,516
13,523
14,405